Record 1
Here is a relaxed ErTl2MoO6 crystal from Alexandria via LeMat-Bulk. Energies are from GGA+U.

a b c (Å): 6.494 6.494 5.853
angles (deg): 90.00 90.00 120.00
Fractional coordinates of all 10 atoms:
Er1 0.000 0.000 0.000
Tl1 0.333 0.667 0.542
Tl2 0.667 0.333 0.458
Mo1 0.000 0.000 0.500
O1 0.135 0.270 0.711
O2 0.135 0.865 0.711
O3 0.270 0.135 0.289
O4 0.730 0.865 0.711
O5 0.865 0.135 0.289
O6 0.865 0.730 0.289

Output
Electronic total energy ... -0.454 Ry/atom

Record 2
Here is a relaxed Er3Tl3MoO8 crystal from Alexandria via LeMat-Bulk. Energies are from GGA+U.

a b c (Å): 6.803 6.803 7.614
angles (deg): 116.25 116.25 59.49
Fractional coordinates of all 15 atoms:
Er1 0.000 0.000 0.000
Er2 0.000 0.500 0.000
Er3 0.500 0.000 0.000
Tl1 0.000 0.500 0.500
Tl2 0.500 0.000 0.500
Tl3 0.500 0.500 0.500
Mo1 0.500 0.500 0.000
O1 0.220 0.220 0.166
O2 0.245 0.707 0.162
O3 0.286 0.286 0.835
O4 0.293 0.755 0.838
O5 0.707 0.245 0.162
O6 0.714 0.714 0.165
O7 0.755 0.293 0.838
O8 0.780 0.780 0.834

Output
Electronic total energy ... -0.497 Ry/atom

Record 3
Here is a relaxed ErTl2Mo3O12 crystal from Alexandria via LeMat-Bulk. Energies are from GGA+U.

a b c (Å): 7.626 7.626 7.626
angles (deg): 58.83 58.83 58.83
Fractional coordinates of all 18 atoms:
Er1 0.000 0.000 0.000
Tl1 0.335 0.335 0.335
Tl2 0.665 0.665 0.665
Mo1 0.000 0.000 0.500
Mo2 0.000 0.500 0.000
Mo3 0.500 0.000 0.000
O1 0.062 0.701 0.701
O2 0.076 0.076 0.646
O3 0.076 0.646 0.076
O4 0.299 0.299 0.938
O5 0.299 0.938 0.299
O6 0.354 0.924 0.924
O7 0.646 0.076 0.076
O8 0.701 0.062 0.701
O9 0.701 0.701 0.062
O10 0.924 0.354 0.924
O11 0.924 0.924 0.354
O12 0.938 0.299 0.299

Output
Electronic total energy ... -0.487 Ry/atom